a.
VASP calculation (PBE) on an optimized crystal structure of YTc3.

Crystal system = trigonal
Fermi-level density of states = 4.9 states/eV/f.u.
V = 202 Å³ per cell
Mass density = 9.42 g/cm³
Space-group type = R-3m (166)

Lattice parameters (Å, degrees): 9.045 9.045 2.857 90.00 90.00 120.00
Atoms (fractional coordinates):
Y 0.000 0.000 0.000
Y 0.333 0.667 0.667
Y 0.667 0.333 0.333
Tc 0.000 0.500 0.000
Tc 0.167 0.333 0.333
Tc 0.167 0.833 0.333
Tc 0.333 0.167 0.667
Tc 0.500 0.000 0.000
Tc 0.500 0.500 0.000
Tc 0.667 0.833 0.333
Tc 0.833 0.167 0.667
Tc 0.833 0.667 0.667

=====

b.
VASP calculation (PBE) on an optimized crystal structure of YTc3.

Crystal system = cubic
Fermi-level density of states = 2.4 states/eV/f.u.
V = 269 Å³ per cell
Mass density = 9.46 g/cm³
Space-group type = Fm-3m (225)

Lattice parameters (Å, degrees): 6.454 6.454 6.454 90.00 90.00 90.00
Atoms (fractional coordinates):
Y 0.000 0.000 0.000
Y 0.000 0.500 0.500
Y 0.500 0.000 0.500
Y 0.500 0.500 0.000
Tc 0.000 0.000 0.500
Tc 0.000 0.500 0.000
Tc 0.250 0.250 0.250
Tc 0.250 0.250 0.750
Tc 0.250 0.750 0.250
Tc 0.250 0.750 0.750
Tc 0.500 0.000 0.000
Tc 0.500 0.500 0.500
Tc 0.750 0.250 0.250
Tc 0.750 0.250 0.750
Tc 0.750 0.750 0.250
Tc 0.750 0.750 0.750

=====

c.
VASP calculation (PBE) on an optimized crystal structure of YTc3.

Crystal system = tetragonal
Fermi-level density of states = 2.1 states/eV/f.u.
V = 270 Å³ per cell
Mass density = 9.41 g/cm³
Space-group type = I4/mmm (139)

Lattice parameters (Å, degrees): 4.560 4.560 12.989 90.00 90.00 90.00
Atoms (fractional coordinates):
Y 0.000 0.000 0.125
Y 0.000 0.000 0.875
Y 0.500 0.500 0.375
Y 0.500 0.500 0.625
Tc 0.000 0.000 0.371
Tc 0.000 0.000 0.629
Tc 0.000 0.500 0.000
Tc 0.000 0.500 0.250
Tc 0.000 0.500 0.500
Tc 0.000 0.500 0.750
Tc 0.500 0.000 0.000
Tc 0.500 0.000 0.250
Tc 0.500 0.000 0.500
Tc 0.500 0.000 0.750
Tc 0.500 0.500 0.129
Tc 0.500 0.500 0.871

=====

d.
VASP calculation (PBE) on an optimized crystal structure of YTc3.

Crystal system = trigonal
Fermi-level density of states = 4.7 states/eV/f.u.
V = 205 Å³ per cell
Mass density = 9.29 g/cm³
Space-group type = R-3m (166)

Lattice parameters (Å, degrees): 2.893 2.893 28.320 90.00 90.00 120.00
Atoms (fractional coordinates):
Y 0.000 0.000 0.000
Y 0.333 0.667 0.667
Y 0.667 0.333 0.333
Tc 0.000 0.000 0.240
Tc 0.000 0.000 0.500
Tc 0.000 0.000 0.760
Tc 0.333 0.667 0.167
Tc 0.333 0.667 0.427
Tc 0.333 0.667 0.907
Tc 0.667 0.333 0.093
Tc 0.667 0.333 0.573
Tc 0.667 0.333 0.833

=====

Most stable = b

=====

a.
VASP calculation (PBE) on an optimized crystal structure of YTc3.

Crystal system = orthorhombic
Fermi-level density of states = 3.6 states/eV/f.u.
V = 153 Å³ per cell
Mass density = 8.33 g/cm³
Space-group type = Pmmn (59)

Lattice parameters (Å, degrees): 4.056 5.579 6.745 90.00 90.00 90.00
Atoms (fractional coordinates):
Y 0.250 0.250 0.081
Y 0.750 0.750 0.919
Tc 0.250 0.514 0.630
Tc 0.250 0.750 0.288
Tc 0.250 0.986 0.630
Tc 0.750 0.014 0.370
Tc 0.750 0.250 0.712
Tc 0.750 0.486 0.370

=====

b.
VASP calculation (PBE) on an optimized crystal structure of YTc3.

Crystal system = tetragonal
Fermi-level density of states = 4.1 states/eV/f.u.
V = 70 Å³ per cell
Mass density = 9.13 g/cm³
Space-group type = P4/mmm (123)

Lattice parameters (Å, degrees): 3.166 3.166 6.944 90.00 90.00 90.00
Atoms (fractional coordinates):
Y 0.000 0.000 0.000
Tc 0.000 0.000 0.500
Tc 0.500 0.500 0.289
Tc 0.500 0.500 0.711

=====

c.
VASP calculation (PBE) on an optimized crystal structure of YTc3.

Crystal system = tetragonal
Fermi-level density of states = 4.6 states/eV/f.u.
V = 68 Å³ per cell
Mass density = 9.38 g/cm³
Space-group type = P4/mmm (123)

Lattice parameters (Å, degrees): 4.595 4.595 3.212 90.00 90.00 90.00
Atoms (fractional coordinates):
Y 0.000 0.000 0.000
Tc 0.000 0.500 0.500
Tc 0.500 0.000 0.500
Tc 0.500 0.500 0.000

=====

d.
VASP calculation (PBE) on an optimized crystal structure of YTc3.

Crystal system = orthorhombic
Fermi-level density of states = 3.8 states/eV/f.u.
V = 138 Å³ per cell
Mass density = 9.23 g/cm³
Space-group type = Immm (71)

Lattice parameters (Å, degrees): 3.159 4.748 9.192 90.00 90.00 90.00
Atoms (fractional coordinates):
Y 0.000 0.000 0.000
Y 0.500 0.500 0.500
Tc 0.000 0.000 0.500
Tc 0.000 0.500 0.228
Tc 0.000 0.500 0.772
Tc 0.500 0.000 0.272
Tc 0.500 0.000 0.728
Tc 0.500 0.500 0.000

=====

Most stable = b

=====

a.
VASP calculation (PBE) on an optimized crystal structure of YTc3.

Crystal system = cubic
Fermi-level density of states = 4.6 states/eV/f.u.
V = 69 Å³ per cell
Mass density = 9.19 g/cm³
Space-group type = Pm-3m (221)

Lattice parameters (Å, degrees): 4.105 4.105 4.105 90.00 90.00 90.00
Atoms (fractional coordinates):
Y 0.000 0.000 0.000
Tc 0.000 0.500 0.500
Tc 0.500 0.000 0.500
Tc 0.500 0.500 0.000

=====

b.
VASP calculation (PBE) on an optimized crystal structure of YTc3.

Crystal system = hexagonal
Fermi-level density of states = 4.6 states/eV/f.u.
V = 291 Å³ per cell
Mass density = 8.73 g/cm³
Space-group type = P6_3/mmc (194)

Lattice parameters (Å, degrees): 6.320 6.320 8.422 90.00 90.00 120.00
Atoms (fractional coordinates):
Y 0.000 0.000 0.000
Y 0.000 0.000 0.500
Y 0.333 0.667 0.250
Y 0.667 0.333 0.750
Tc 0.000 0.500 0.000
Tc 0.000 0.500 0.500
Tc 0.198 0.396 0.750
Tc 0.198 0.802 0.750
Tc 0.396 0.198 0.250
Tc 0.500 0.000 0.000
Tc 0.500 0.000 0.500
Tc 0.500 0.500 0.000
Tc 0.500 0.500 0.500
Tc 0.604 0.802 0.750
Tc 0.802 0.198 0.250
Tc 0.802 0.604 0.250

=====

c.
VASP calculation (PBE) on an optimized crystal structure of YTc3.

Crystal system = hexagonal
Fermi-level density of states = 6.0 states/eV/f.u.
V = 69 Å³ per cell
Mass density = 9.26 g/cm³
Space-group type = P-6m2 (187)

Lattice parameters (Å, degrees): 2.945 2.945 9.140 90.00 90.00 120.00
Atoms (fractional coordinates):
Y 0.000 0.000 0.000
Tc 0.000 0.000 0.500
Tc 0.667 0.333 0.279
Tc 0.667 0.333 0.721

=====

Most stable = b

=====

a.
VASP calculation (PBE) on an optimized crystal structure of Y4Tc3.

Crystal system = hexagonal
Fermi-level density of states = 8.1 states/eV/f.u.
V = 155 Å³ per cell
Mass density = 6.96 g/cm³
Space-group type = P6/mmm (191)

Lattice parameters (Å, degrees): 5.351 5.351 6.247 90.00 90.00 120.00
Atoms (fractional coordinates):
Y 0.000 0.000 0.244
Y 0.000 0.000 0.756
Y 0.333 0.667 0.500
Y 0.667 0.333 0.500
Tc 0.000 0.500 0.000
Tc 0.500 0.000 0.000
Tc 0.500 0.500 0.000

=====

b.
VASP calculation (PBE) on an optimized crystal structure of Y4Tc3.

Crystal system = tetragonal
Fermi-level density of states = 7.2 states/eV/f.u.
V = 331 Å³ per cell
Mass density = 6.52 g/cm³
Space-group type = I4/mmm (139)

Lattice parameters (Å, degrees): 3.290 3.290 30.564 90.00 90.00 90.00
Atoms (fractional coordinates):
Y 0.000 0.000 0.057
Y 0.000 0.000 0.337
Y 0.000 0.000 0.663
Y 0.000 0.000 0.943
Y 0.500 0.500 0.163
Y 0.500 0.500 0.443
Y 0.500 0.500 0.557
Y 0.500 0.500 0.837
Tc 0.000 0.000 0.229
Tc 0.000 0.000 0.500
Tc 0.000 0.000 0.771
Tc 0.500 0.500 0.000
Tc 0.500 0.500 0.271
Tc 0.500 0.500 0.729

=====

Most stable = b